# 1
# NaCe2AgS5

A relaxed NaCe2AgS5 crystal (PBE-GGA, Alexandria via LeMat-Bulk).

## Properties
Symmetry: No. 140
Crystal system: tetragonal
Formation energy from raw total energies: -1324.1 meV/atom
Mass density: 4.43 g/cm³

Geometry as extended XYZ:
```
18
Lattice="-3.8557 3.8557 7.1969 3.8557 -3.8557 7.1969 3.8557 3.8557 -7.1969" Properties=species:S:1:pos:R:3 pbc="T T T"
Na 0.0000 0.0000 3.5984
Na 0.0000 0.0000 10.7953
Ce 5.1166 1.2609 0.0000
Ce 1.2609 2.5948 0.0000
Ce 2.5948 1.2609 7.1969
Ce -1.2609 2.5948 7.1969
Ag 3.8557 0.0000 3.5984
Ag 0.0000 3.8557 3.5984
S 0.0000 0.0000 0.0000
S 2.7036 1.1521 -1.7223
S 2.7036 -1.1521 5.4746
S 2.7036 1.1521 1.7223
S 2.7036 -1.1521 8.9192
S 0.0000 0.0000 7.1969
S 1.1521 5.0077 -1.7223
S 1.1521 2.7036 5.4746
S 1.1521 5.0077 1.7223
S 1.1521 2.7036 8.9192
```

=====

# 2
# Cr5Co3

A relaxed Cr5Co3 crystal (PBE-GGA, Alexandria via LeMat-Bulk).

## Properties
Symmetry: No. 12
Crystal system: monoclinic
Total energy: -68.15 eV/f.u.
Mass density: 8.02 g/cm³

Geometry as extended XYZ:
```
16
Lattice="2.2349 -6.0279 0.0000 2.2349 6.0279 0.0000 -1.8165 0.0000 6.7138" Properties=species:S:1:pos:R:3 pbc="T T T"
Cr 0.3654 3.9472 5.3320
Cr 1.0967 0.0000 0.0182
Cr 2.2878 3.9472 1.3818
Cr 0.5602 1.1912 4.4773
Cr 0.5602 -1.1912 4.4773
Cr 2.0929 1.1912 2.2365
Cr 2.0929 -1.1912 2.2365
Cr 0.3654 -3.9472 5.3320
Cr 1.5565 0.0000 6.6956
Cr 2.2878 -3.9472 1.3818
Co -0.1946 0.0000 2.4221
Co 1.3266 3.2667 3.3569
Co 2.2349 2.1600 0.0000
Co 2.2349 -2.1600 0.0000
Co 1.3266 -3.2667 3.3569
Co 2.8478 0.0000 4.2917
```

=====

# 3
# CeHoPa2

A relaxed CeHoPa2 crystal (PBE-GGA, Alexandria via LeMat-Bulk).

## Properties
Symmetry: No. 123
Crystal system: tetragonal
Total energy: -28.76 eV/f.u.
Mass density: 12.07 g/cm³

Geometry as extended XYZ:
```
4
Lattice="4.6285 0.0000 0.0000 0.0000 4.6285 0.0000 0.0000 0.0000 4.9254" Properties=species:S:1:pos:R:3 pbc="T T T"
Ce 0.0000 0.0000 0.0000
Ho 2.3142 2.3142 0.0000
Pa 0.0000 2.3142 2.4627
Pa 2.3142 0.0000 2.4627
```

=====

# 4
# Li2CdFe

A relaxed Li2CdFe crystal (PBE-GGA, Alexandria via LeMat-Bulk).

## Properties
Symmetry: No. 10
Crystal system: monoclinic
Total energy: -12.51 eV/f.u.
Mass density: 4.75 g/cm³

Geometry as extended XYZ:
```
4
Lattice="2.7168 0.0000 0.0000 0.0000 4.6543 0.0000 -0.4975 0.0000 5.0358" Properties=species:S:1:pos:R:3 pbc="T T T"
Li 0.5097 0.0000 1.3396
Li 1.7096 0.0000 3.6962
Cd 1.3584 2.3271 0.0000
Fe -0.2487 2.3271 2.5179
```

=====

# 5
# BaSb2Cl

A relaxed BaSb2Cl crystal (PBE-GGA, Alexandria via LeMat-Bulk).

## Properties
Symmetry: No. 47
Crystal system: orthorhombic
Formation energy from raw total energies: -660.4 meV/atom
Mass density: 5.25 g/cm³

Geometry as extended XYZ:
```
4
Lattice="3.5451 0.0000 0.0000 0.0000 6.0887 0.0000 0.0000 0.0000 6.1032" Properties=species:S:1:pos:R:3 pbc="T T T"
Ba 0.0000 0.0000 0.0000
Sb 1.7726 1.4312 3.0516
Sb 1.7726 4.6575 3.0516
Cl 0.0000 3.0443 0.0000
```

=====

# 6
# HfAg2S3

A relaxed HfAg2S3 crystal (PBE-GGA, Alexandria via LeMat-Bulk).

## Properties
Symmetry: No. 12
Crystal system: monoclinic
Formation energy from raw total energies: -720.8 meV/atom
Mass density: 6.72 g/cm³

Geometry as extended XYZ:
```
12
Lattice="3.2987 -5.7238 0.0000 3.2987 5.7238 0.0000 -2.2429 0.0000 6.4140" Properties=species:S:1:pos:R:3 pbc="T T T"
Hf 3.2987 3.7904 0.0000
Hf 3.2987 -3.7904 0.0000
Ag -1.1215 0.0000 3.2070
Ag 2.1772 1.8255 3.2070
Ag 3.2987 0.0000 0.0000
Ag 2.1772 -1.8255 3.2070
S -0.1384 2.0799 4.9562
S 0.8784 0.0000 1.4928
S -0.1384 -2.0799 4.9562
S 4.4928 2.0799 1.4578
S 3.4760 0.0000 4.9212
S 4.4928 -2.0799 1.4578
```

=====

# 7
# Tb3HfTl3S8

A relaxed Tb3HfTl3S8 crystal (PBE-GGA, Alexandria via LeMat-Bulk).

## Properties
Symmetry: No. 166
Crystal system: trigonal
Formation energy from raw total energies: -1512.3 meV/atom
Mass density: 6.13 g/cm³

Geometry as extended XYZ:
```
15
Lattice="3.9595 2.2860 7.6021 -3.9595 2.2860 7.6021 0.0000 -4.5721 7.6021" Properties=species:S:1:pos:R:3 pbc="T T T"
Tb -1.9798 -1.1430 7.6021
Tb -1.9798 1.1430 15.2042
Tb 0.0000 2.2860 7.6021
Hf 0.0000 0.0000 0.0000
Tl -3.9595 0.0000 11.4031
Tl -1.9798 1.1430 3.8010
Tl 1.9798 1.1430 3.8010
S 0.0000 -2.4263 9.0505
S -2.1013 1.2132 9.0505
S -2.1012 -1.2132 13.7557
S 0.0000 0.0000 6.0904
S 0.0000 0.0000 16.7159
S 2.1013 1.2132 9.0505
S 2.1012 -1.2132 13.7557
S 0.0000 2.4263 13.7557
```

=====

# 8
# Pr2Cu3Pd12Au

A relaxed Pr2Cu3Pd12Au crystal (PBE-GGA, Alexandria via LeMat-Bulk).

## Properties
Symmetry: No. 166
Crystal system: trigonal
Total energy: -85.61 eV/f.u.
Mass density: 8.89 g/cm³

Geometry as extended XYZ:
```
18
Lattice="4.1959 2.4225 5.9596 -4.1959 2.4225 5.9596 0.0000 -4.8450 5.9596" Properties=species:S:1:pos:R:3 pbc="T T T"
Pr 0.0000 0.0000 1.9272
Pr 0.0000 0.0000 15.9516
Cu -2.0979 -1.2112 5.9596
Cu -2.0979 1.2112 11.9192
Cu 0.0000 2.4225 5.9596
Pd -2.2555 -1.3022 8.4059
Pd 0.0000 -2.3285 5.1938
Pd -2.0166 1.1643 5.1938
Pd 0.0000 -2.6045 9.4729
Pd -2.2555 1.3022 9.4729
Pd -2.0166 -1.1643 12.6850
Pd 2.0166 1.1643 5.1938
Pd 2.2555 -1.3022 8.4059
Pd 0.0000 2.6045 8.4059
Pd 2.0166 -1.1643 12.6850
Pd 0.0000 2.3285 12.6850
Pd 2.2555 1.3022 9.4729
Au 0.0000 0.0000 8.9394
```

=====

# 9
# Ca2CuRh

A relaxed Ca2CuRh crystal (PBE-GGA, Alexandria via LeMat-Bulk).

## Properties
Symmetry: No. 122
Crystal system: tetragonal
Total energy: -15.22 eV/f.u.
Mass density: 4.63 g/cm³

Geometry as extended XYZ:
```
8
Lattice="-3.8152 3.8152 3.0406 3.8152 -3.8152 3.0406 3.8152 3.8152 -3.0406" Properties=species:S:1:pos:R:3 pbc="T T T"
Ca 5.7228 1.8226 -0.7601
Ca 1.8226 1.9076 0.7601
Ca -1.9076 1.9926 2.2804
Ca 1.9926 1.9076 3.8007
Cu 3.8152 0.0000 1.5203
Cu 0.0000 0.0000 3.0406
Rh 0.0000 0.0000 0.0000
Rh 0.0000 3.8152 1.5203
```

=====

# 10
# KLiW

A relaxed KLiW crystal (PBE-GGA, Alexandria via LeMat-Bulk).

## Properties
Symmetry: No. 216
Crystal system: cubic
Total energy: -9.71 eV/f.u.
Mass density: 3.81 g/cm³

Geometry as extended XYZ:
```
3
Lattice="0.0000 3.6870 3.6870 3.6870 0.0000 3.6870 3.6870 3.6870 0.0000" Properties=species:S:1:pos:R:3 pbc="T T T"
K 0.0000 0.0000 0.0000
Li 1.8435 1.8435 1.8435
W 3.6870 3.6870 3.6870
```

=====

# 11
# KBeFe2

A relaxed KBeFe2 crystal (PBE-GGA, Alexandria via LeMat-Bulk).

## Properties
Symmetry: No. 123
Crystal system: tetragonal
Total energy: -16.11 eV/f.u.
Mass density: 4.18 g/cm³

Geometry as extended XYZ:
```
4
Lattice="3.9916 0.0000 0.0000 0.0000 3.9916 0.0000 0.0000 0.0000 3.9888" Properties=species:S:1:pos:R:3 pbc="T T T"
K 0.0000 0.0000 0.0000
Be 1.9958 1.9958 0.0000
Fe 0.0000 1.9958 1.9944
Fe 1.9958 0.0000 1.9944
```

=====

# 12
# KCrSe2

A relaxed KCrSe2 crystal (PBE-GGA, Alexandria via LeMat-Bulk).

## Properties
Symmetry: No. 12
Crystal system: monoclinic
Formation energy from raw total energies: -665.4 meV/atom
Mass density: 3.77 g/cm³

Geometry as extended XYZ:
```
8
Lattice="8.9549 -2.0340 0.0000 8.9549 2.0340 0.0000 -1.0733 0.0000 6.0181" Properties=species:S:1:pos:R:3 pbc="T T T"
K 1.1626 0.0000 1.7863
K 15.6740 0.0000 4.2318
Cr 5.1802 0.0000 0.7390
Cr 11.6564 0.0000 5.2791
Se 3.6264 0.0000 4.4316
Se 7.3951 0.0000 1.2801
Se 9.4415 0.0000 4.7380
Se 13.2102 0.0000 1.5865
```